1.
Material: Dy6ThS8
Method: DFT, PBE
State: relaxed

Output
Total DFT energy (no corrections) ... -97.84 eV/f.u.
DOS at the Fermi energy ... 8.2 states/eV/f.u.
Formation energy (no corrections) ... -1.9858 eV per atom
Symmetry ... Fm-3m

Cell: 7.8159 7.8159 7.8159 Å, 60.00 60.00 60.00°
With the nearest neighbours (Å) after each atom.
Atoms (fractional coordinates):
Dy: 0.0000 0.0000 0.5000  6 S 2.76
Dy: 0.0000 0.5000 0.0000  6 S 2.76
Dy: 0.0000 0.5000 0.5000  6 S 2.76
Dy: 0.5000 0.0000 0.0000  6 S 2.76
Dy: 0.5000 0.0000 0.5000  6 S 2.76
Dy: 0.5000 0.5000 0.0000  6 S 2.76
Th: 0.0000 0.0000 0.0000  6 S 2.85
S: 0.2500 0.2500 0.2500  6 Dy 2.76
S: 0.2582 0.2582 0.7418  4 Dy 2.76, 1 Th 2.85
S: 0.2582 0.7418 0.2582  4 Dy 2.76, 1 Th 2.85
S: 0.2582 0.7418 0.7418  4 Dy 2.76, 1 Th 2.85
S: 0.7418 0.2582 0.2582  4 Dy 2.76, 1 Th 2.85
S: 0.7418 0.2582 0.7418  4 Dy 2.76, 1 Th 2.85
S: 0.7418 0.7418 0.2582  4 Dy 2.76, 1 Th 2.85
S: 0.7500 0.7500 0.7500  6 Dy 2.76

***

2.
Material: DyThS
Method: DFT, PBE
State: relaxed

Output
Total DFT energy (no corrections) ... -19.45 eV/f.u.
DOS at the Fermi energy ... 3.7 states/eV/f.u.
Formation energy (no corrections) ... -1.0994 eV per atom
Symmetry ... P3m1

Cell: 3.8437 3.8437 6.4730 Å, 90.00 90.00 120.00°
With the nearest neighbours (Å) after each atom.
Atoms (fractional coordinates):
Dy: 0.0000 0.0000 0.0000  3 S 2.74
Th: 0.6667 0.3333 0.4708  3 S 2.87
S: 0.3333 0.6667 0.7521  3 Dy 2.74, 3 Th 2.87

***

3.
Material: DyTh4S5
Method: DFT, PBE
State: relaxed

Output
Total DFT energy (no corrections) ... -73.52 eV/f.u.
DOS at the Fermi energy ... 7.0 states/eV/f.u.
Formation energy (no corrections) ... -1.8602 eV per atom
Symmetry ... I4/m

Cell: 6.9603 6.9603 6.9603 Å, 99.60 99.60 131.79°
With the nearest neighbours (Å) after each atom.
Atoms (fractional coordinates):
Dy: 0.0000 0.0000 0.0000  6 S 2.77-2.84
Th: 0.1972 0.4023 0.5995  6 S 2.84-2.89
Th: 0.4023 0.8028 0.2051  6 S 2.84-2.89
Th: 0.5977 0.1972 0.7949  6 S 2.84-2.89
Th: 0.8028 0.5977 0.4005  6 S 2.84-2.89
S: 0.0999 0.7086 0.8086  1 Dy 2.77, 5 Th 2.84-2.89
S: 0.2914 0.0999 0.3913  1 Dy 2.77, 5 Th 2.84-2.89
S: 0.5000 0.5000 0.0000  2 Dy 2.84, 4 Th 2.86
S: 0.7086 0.9001 0.6087  1 Dy 2.77, 5 Th 2.84-2.89
S: 0.9001 0.2914 0.1914  1 Dy 2.77, 5 Th 2.84-2.89

***

4.
Material: Dy2ThS3
Method: DFT, PBE
State: relaxed

Output
Total DFT energy (no corrections) ... -40.49 eV/f.u.
DOS at the Fermi energy ... 3.8 states/eV/f.u.
Formation energy (no corrections) ... -1.9144 eV per atom
Symmetry ... Immm

Cell: 6.8793 6.8793 6.8793 Å, 146.88 131.86 59.68°
With the nearest neighbours (Å) after each atom.
Atoms (fractional coordinates):
Dy: 0.1641 0.1641 0.0000  6 S 2.75-2.81
Dy: 0.8359 0.8359 0.0000  6 S 2.75-2.81
Th: 0.5000 0.5000 0.0000  6 S 2.81-2.86
S: 0.0000 0.5000 0.5000  4 Dy 2.77, 2 Th 2.81
S: 0.3256 0.8256 0.5000  4 Dy 2.75-2.81, 2 Th 2.86
S: 0.6744 0.1744 0.5000  4 Dy 2.75-2.81, 2 Th 2.86

***

5.
Material: DyTh3S
Method: DFT, PBE
State: relaxed

Output
Total DFT energy (no corrections) ... -33.85 eV/f.u.
DOS at the Fermi energy ... 4.5 states/eV/f.u.
Formation energy (no corrections) ... -0.5724 eV per atom
Symmetry ... Pm-3m

Cell: 5.4255 5.4255 5.4255 Å, 90.00 90.00 90.00°
With the nearest neighbours (Å) after each atom.
Atoms (fractional coordinates):
Dy: 0.0000 0.0000 0.0000  12 Th 3.84
Th: 0.0000 0.5000 0.5000  2 S 2.71
Th: 0.5000 0.0000 0.5000  2 S 2.71
Th: 0.5000 0.5000 0.0000  2 S 2.71
S: 0.5000 0.5000 0.5000  6 Th 2.71

***

6.
Material: DyThS2
Method: DFT, PBE
State: relaxed

Output
Total DFT energy (no corrections) ... -27.50 eV/f.u.
Excess energy over the best structure of this formula in the dataset ... 104 meV/atom
DOS at the Fermi energy ... 3.3 states/eV/f.u.
Formation energy (no corrections) ... -1.8065 eV per atom
Symmetry ... R3m

Cell: 7.5269 7.5269 7.5269 Å, 29.30 29.30 29.30°
With the nearest neighbours (Å) after each atom.
Atoms (fractional coordinates):
Dy: 0.0000 0.0000 0.0000  6 S 2.72-2.85
Th: 0.8256 0.8256 0.8256  6 S 2.86-2.94
S: 0.2494 0.2494 0.2494  3 Dy 2.85, 3 Th 2.94
S: 0.4076 0.4076 0.4076  3 Dy 2.72, 3 Th 2.86

***

The lowest total DFT energy (no corrections) belongs to which entry?
Dy6ThS8

***

Which value of total DFT energy (no corrections) does entry 2 give?
-19.45 eV/f.u.

***

The lowest formation energy (no corrections) belongs to which entry?
Dy6ThS8